Record 1
PBE-GGA TbPr6Dy2Ho, optimized geometry; VASP energy = -4.59 eV/atom; DFT formation energy = 0.1151 eV/atom; space group = C2/c, No. 15
1.0
4.6593 -7.7128 0.0000
4.6593 7.7128 0.0000
-1.3003 0.0000 9.6340
Tb Pr Dy Ho
2 12 4 2
Direct
0.0273 0.9727 0.7500
0.9727 0.0273 0.2500
0.0076 0.5645 0.6889
0.1154 0.7622 0.0540
0.2378 0.8846 0.4460
0.2934 0.5099 0.8823
0.4355 0.9924 0.8111
0.4901 0.7066 0.6177
0.5099 0.2934 0.3823
0.5645 0.0076 0.1889
0.7066 0.4901 0.1177
0.7622 0.1154 0.5540
0.8846 0.2378 0.9460
0.9924 0.4355 0.3111
0.1999 0.2961 0.5462
0.2961 0.1999 0.0462
0.7039 0.8001 0.9538
0.8001 0.7039 0.4538
0.4113 0.5887 0.2500
0.5887 0.4113 0.7500

=====

Record 2
PBE-GGA P2HSe, optimized geometry; VASP energy = -4.38 eV/atom; energy above the lowest structure with this stoichiometry = 14 kJ/mol of formula units; space group = P1, No. 1
1.0
4.6265 0.0000 0.0000
1.6032 6.0101 0.0000
0.2773 0.3026 6.2177
P H Se
4 2 2
Direct
0.0000 0.0000 0.0000
0.1370 0.9289 0.3390
0.3776 0.0401 0.7738
0.5786 0.2846 0.9285
0.4732 0.2443 0.1438
0.8434 0.9026 0.3920
0.0828 0.2620 0.5138
0.9344 0.6724 0.9508

=====

Record 3
PBE-GGA ZrCrC3, optimized geometry; VASP energy = -6.57 eV/atom; DFT formation energy = 2.5984 eV/atom; energy above the lowest structure with this stoichiometry = 815 kJ/mol of formula units; space group = Pm-3m, No. 221
1.0
4.2346 0.0000 0.0000
0.0000 4.2346 0.0000
0.0000 0.0000 4.2346
Zr Cr C
1 1 3
Direct
0.0000 0.0000 0.0000
0.5000 0.5000 0.5000
0.0000 0.0000 0.5000
0.0000 0.5000 0.0000
0.5000 0.0000 0.0000

=====

Record 4
PBE-GGA RbFe3Bi, optimized geometry; VASP energy = -4.72 eV/atom; DFT formation energy = 1.3263 eV/atom; energy above the lowest structure with this stoichiometry = 0 kJ/mol of formula units; space group = Pm-3m, No. 221
1.0
5.1421 0.0000 0.0000
0.0000 5.1421 0.0000
0.0000 0.0000 5.1421
Rb Fe Bi
1 3 1
Direct
0.0000 0.0000 0.0000
0.0000 0.5000 0.5000
0.5000 0.0000 0.5000
0.5000 0.5000 0.0000
0.5000 0.5000 0.5000

=====

| no. | spin magnetization (μB per cell) |
| --- | --- |
| 1 | 0.00 |
| 2 | 0.00 |
| 3 | 0.56 |
| 4 | 8.00 |